(1)
Crystalline PmY2S2 at its relaxed geometry. Source: Alexandria, functional PBE-GGA.

a b c (Å): 3.888 3.888 28.803
angles (deg): 90.00 90.00 120.00
Fractional positions:
Pm 0.000 0.000 0.000
Pm 0.333 0.667 0.667
Pm 0.667 0.333 0.333
Y 0.000 0.000 0.217
Y 0.000 0.000 0.783
Y 0.333 0.667 0.450
Y 0.333 0.667 0.884
Y 0.667 0.333 0.116
Y 0.667 0.333 0.550
S 0.000 0.000 0.394
S 0.000 0.000 0.606
S 0.333 0.667 0.060
S 0.333 0.667 0.273
S 0.667 0.333 0.727
S 0.667 0.333 0.940

Values from the calculation:
The energy is -6.783 eV/atom. As for the space group: No. 166.

=====

(2)
Crystalline Pm4YS4 at its relaxed geometry. Source: Alexandria, functional PBE-GGA.

a b c (Å): 6.899 6.899 6.899
angles (deg): 99.73 99.73 131.46
Fractional positions:
Pm 0.101 0.697 0.798
Pm 0.303 0.101 0.404
Pm 0.697 0.899 0.596
Pm 0.899 0.303 0.202
Y 0.500 0.500 0.000
S 0.204 0.402 0.606
S 0.402 0.796 0.198
S 0.598 0.204 0.802
S 0.796 0.598 0.394

Values from the calculation:
The energy is -6.448 eV/atom. As for the space group: No. 87.

=====

(3)
Crystalline Pm3Y5S12 at its relaxed geometry. Source: Alexandria, functional PBE-GGA.

a b c (Å): 14.065 14.065 14.065
angles (deg): 109.47 109.47 109.47
Fractional positions:
Pm 0.125 0.250 0.375
Pm 0.125 0.375 0.750
Pm 0.250 0.375 0.125
Pm 0.250 0.875 0.625
Pm 0.375 0.125 0.250
Pm 0.375 0.750 0.125
Pm 0.625 0.250 0.875
Pm 0.625 0.875 0.750
Pm 0.750 0.125 0.375
Pm 0.750 0.625 0.875
Pm 0.875 0.625 0.250
Pm 0.875 0.750 0.625
Y 0.000 0.000 0.000
Y 0.000 0.000 0.500
Y 0.000 0.500 0.000
Y 0.000 0.500 0.500
Y 0.125 0.750 0.875
Y 0.125 0.875 0.250
Y 0.250 0.125 0.875
Y 0.250 0.625 0.375
Y 0.375 0.250 0.625
Y 0.375 0.625 0.750
Y 0.500 0.000 0.000
Y 0.500 0.000 0.500
Y 0.500 0.500 0.000
Y 0.500 0.500 0.500
Y 0.625 0.375 0.250
Y 0.625 0.750 0.375
Y 0.750 0.375 0.625
Y 0.750 0.875 0.125
Y 0.875 0.125 0.750
Y 0.875 0.250 0.125
S 0.047 0.221 0.131
S 0.047 0.326 0.916
S 0.084 0.631 0.409
S 0.084 0.953 0.674
S 0.091 0.721 0.674
S 0.091 0.869 0.416
S 0.131 0.047 0.221
S 0.131 0.584 0.909
S 0.174 0.221 0.591
S 0.174 0.453 0.584
S 0.221 0.131 0.047
S 0.221 0.591 0.174
S 0.279 0.326 0.909
S 0.279 0.453 0.369
S 0.326 0.909 0.279
S 0.326 0.916 0.047
S 0.369 0.279 0.453
S 0.369 0.591 0.916
S 0.409 0.084 0.631
S 0.409 0.826 0.779
S 0.416 0.091 0.869
S 0.416 0.826 0.547
S 0.453 0.369 0.279
S 0.453 0.584 0.174
S 0.547 0.416 0.826
S 0.547 0.631 0.721
S 0.584 0.174 0.453
S 0.584 0.909 0.131
S 0.591 0.174 0.221
S 0.591 0.916 0.369
S 0.631 0.409 0.084
S 0.631 0.721 0.547
S 0.674 0.084 0.953
S 0.674 0.091 0.721
S 0.721 0.547 0.631
S 0.721 0.674 0.091
S 0.779 0.409 0.826
S 0.779 0.869 0.953
S 0.826 0.547 0.416
S 0.826 0.779 0.409
S 0.869 0.416 0.091
S 0.869 0.953 0.779
S 0.909 0.131 0.584
S 0.909 0.279 0.326
S 0.916 0.047 0.326
S 0.916 0.369 0.591
S 0.953 0.674 0.084
S 0.953 0.779 0.869

Values from the calculation:
The energy is -6.709 eV/atom. As for the space group: No. 230.

=====

(4)
Crystalline Pm2Y2S5 at its relaxed geometry. Source: Alexandria, functional PBE-GGA.

a b c (Å): 9.989 9.989 9.989
angles (deg): 62.59 137.11 136.69
Fractional positions:
Pm 0.013 0.105 0.118
Pm 0.013 0.395 0.409
Pm 0.987 0.605 0.591
Pm 0.987 0.895 0.882
Y 0.439 0.439 0.000
Y 0.439 0.939 0.500
Y 0.518 0.809 0.209
Y 0.600 0.309 0.791
S 0.046 0.666 0.880
S 0.214 0.001 0.502
S 0.214 0.212 0.713
S 0.497 0.149 0.232
S 0.497 0.766 0.849
S 0.499 0.501 0.287
S 0.499 0.712 0.498
S 0.785 0.166 0.120
S 0.917 0.266 0.768
S 0.917 0.649 0.151

Values from the calculation:
The energy is -6.589 eV/atom. As for the space group: No. 46.

=====

(5)
Crystalline Pm3YS6 at its relaxed geometry. Source: Alexandria, functional PBE-GGA.

a b c (Å): 8.205 8.205 8.205
angles (deg): 91.35 91.35 91.35
Fractional positions:
Pm 0.067 0.748 0.576
Pm 0.252 0.424 0.933
Pm 0.424 0.933 0.252
Pm 0.576 0.067 0.748
Pm 0.748 0.576 0.067
Pm 0.933 0.252 0.424
Y 0.000 0.000 0.000
Y 0.500 0.500 0.500
S 0.037 0.685 0.908
S 0.092 0.963 0.315
S 0.188 0.422 0.589
S 0.315 0.092 0.963
S 0.411 0.812 0.578
S 0.422 0.589 0.188
S 0.578 0.411 0.812
S 0.589 0.188 0.422
S 0.685 0.908 0.037
S 0.812 0.578 0.411
S 0.908 0.037 0.685
S 0.963 0.315 0.092

Values from the calculation:
The energy is -6.610 eV/atom. For the energy above the most stable polymorph in this dataset, the calculation gives 0.0000 eV per atom. As for the space group: No. 148.

=====

(6)
Crystalline Pm3YS6 at its relaxed geometry. Source: Alexandria, functional PBE-GGA.

a b c (Å): 6.749 7.359 12.180
angles (deg): 90.00 122.93 90.00
Fractional positions:
Pm 0.000 0.000 0.000
Pm 0.000 0.500 0.500
Pm 0.293 0.093 0.752
Pm 0.293 0.407 0.252
Pm 0.707 0.593 0.748
Pm 0.707 0.907 0.248
Y 0.500 0.000 0.500
Y 0.500 0.500 0.000
S 0.097 0.066 0.254
S 0.097 0.434 0.754
S 0.266 0.685 0.083
S 0.266 0.815 0.583
S 0.407 0.189 0.082
S 0.407 0.311 0.582
S 0.593 0.689 0.418
S 0.593 0.811 0.918
S 0.734 0.185 0.417
S 0.734 0.315 0.917
S 0.903 0.566 0.246
S 0.903 0.934 0.746

Values from the calculation:
The energy is -6.570 eV/atom. For the energy above the most stable polymorph in this dataset, the calculation gives 0.0393 eV per atom. As for the space group: No. 14.

=====

Q: The highest energy belongs to which entry?
A: Pm4YS4

=====

Q: Which of these has the lowest energy?
A: PmY2S2